Below is a geometry-optimized BaSr2Ag4 structure, with properties calculated at the PBE level.

Structure (POSCAR):
```
BaSr2Ag4
1.0
-3.597 2.958 1.159
-2.895 -2.744 -1.981
1.945 -5.191 9.354
Ag Ba Sr
4 1 2
direct
0.931 0.431 0.863
0.069 0.569 0.137
0.646 0.646 0.292
0.354 0.354 0.708
0.500 0.000 0.000
0.186 0.186 0.372
0.814 0.814 0.628
```

Results
ΔH_f (0 K): -296 meV per atom
volume: 221.7 Å³ per cell
density: 5.6 g cm⁻³
energy: -2.680 eV per atom